No. 1
# TlCrCuF6

An optimized crystal structure of TlCrCuF6 (GGA+U, Alexandria via LeMat-Bulk).

Geometry as CIF:
```
data_TlCrCuF6
_symmetry_space_group_name_H-M 'P 1'
_symmetry_Int_Tables_number 1
_symmetry_space_group_name_Hall 'P 1'
_cell_length_a 5.580
_cell_length_b 5.321
_cell_length_c 6.030
_cell_angle_alpha 89.07
_cell_angle_beta 88.30
_cell_angle_gamma 58.44
loop_
_atom_site_label
_atom_site_type_symbol
_atom_site_fract_x
_atom_site_fract_y
_atom_site_fract_z
F1 F 0.957 0.384 0.300
F2 F 0.617 0.000 0.318
F3 F 0.383 0.999 0.683
F4 F 0.991 0.630 0.657
F5 F 0.379 0.631 0.343
F6 F 0.661 0.382 0.700
Tl1 Tl 0.007 0.985 0.000
Cr1 Cr 0.670 0.659 0.500
Cu1 Cu 0.335 0.330 0.500
```

Properties
total energy	-44.496	eV for the cell shown
M_tot	4.003	μB per formula unit

No. 2
# VTeN2O

An optimized crystal structure of VTeN2O (GGA+U, Alexandria via LeMat-Bulk).

Geometry as CIF:
```
data_VTeN2O
_symmetry_space_group_name_H-M 'P 1'
_symmetry_Int_Tables_number 1
_symmetry_space_group_name_Hall 'P 1'
_cell_length_a 3.622
_cell_length_b 3.622
_cell_length_c 5.778
_cell_angle_alpha 90.00
_cell_angle_beta 90.00
_cell_angle_gamma 90.00
loop_
_atom_site_label
_atom_site_type_symbol
_atom_site_fract_x
_atom_site_fract_y
_atom_site_fract_z
Te1 Te 0.000 0.000 0.500
N1 N 0.500 0.000 0.000
N2 N 0.000 0.500 0.000
O1 O 0.500 0.500 0.500
V1 V 0.000 0.000 0.000
```

Properties
total energy	-28.539	eV for the cell shown
M_tot	0.339	μB per formula unit